P | 14
Lattice="2.856 1.649 4.716 -2.856 1.649 4.716 0.000 -3.298 4.716" Properties=species:S:1:pos:R:3 comment="Li2Mn3VO8 | the Alexandria database | GGA-PBEsol | optimized geometry" n_ef_per_ev_fu=7.41 total_magnetization_mub_per_cell=8.94 sg=R-3m pbc="T T T"
Li 0.000 0.000 1.762
Li 0.000 0.000 12.386
Mn -1.428 -0.824 4.716
Mn -1.428 0.824 9.432
Mn 0.000 1.649 4.716
V 0.000 0.000 7.074
O 0.000 -1.485 5.821
O -1.286 0.743 5.821
O 0.000 0.000 3.711
O -1.286 -0.743 8.327
O 1.286 0.743 5.821
O 0.000 0.000 10.437
O 1.286 -0.743 8.327
O 0.000 1.485 8.327

=====

Q | 28
Lattice="5.643 0.000 0.000 -2.822 4.887 0.000 0.000 0.000 9.357" Properties=species:S:1:pos:R:3 comment="Li2Mn3VO8 | the Alexandria database | GGA-PBEsol | optimized geometry" n_ef_per_ev_fu=8.08 total_magnetization_mub_per_cell=19.26 sg=P6_3mc pbc="T T T"
Li 0.000 0.000 0.000
Li 0.000 0.000 4.678
Li 0.000 3.258 3.769
Li 2.822 1.629 8.447
Mn 0.000 1.662 6.725
Mn -1.382 4.056 6.725
Mn 1.440 0.831 2.046
Mn 1.382 4.056 6.725
Mn 4.204 0.831 2.046
Mn 2.822 3.225 2.046
V 0.000 3.258 9.314
V 2.822 1.629 4.635
O 0.000 0.000 2.942
O 0.000 0.000 7.621
O -1.248 2.537 7.889
O 0.000 1.623 0.960
O -1.416 4.076 0.960
O 1.405 0.811 5.638
O 0.000 3.258 5.719
O 1.248 2.537 7.889
O 0.000 4.700 7.889
O 2.822 0.188 3.210
O 1.573 2.350 3.210
O 2.822 1.629 1.041
O 1.416 4.076 0.960
O 4.238 0.811 5.638
O 2.822 3.265 5.638
O 4.070 2.350 3.210

=====

Stability check: which of them is most stable? P.

=====

P | 20
Lattice="5.072 0.000 0.000 0.001 5.356 0.000 0.011 0.535 7.360" Properties=species:S:1:pos:R:3 comment="Li4MnW3O12 | the Alexandria database | GGA-PBEsol | optimized geometry" n_ef_per_ev_fu=4.23 total_magnetization_mub_per_cell=3.34 sg=P1 pbc="T T T"
Li 0.000 0.000 0.000
Li 0.032 0.406 3.947
Li 2.541 2.448 6.890
Li 2.568 2.860 3.875
Mn 5.079 2.698 5.372
W 0.026 2.438 1.691
W 2.535 5.322 5.400
W 2.565 5.090 1.730
O 0.609 2.764 7.251
O 1.013 4.288 4.935
O 1.014 0.795 2.125
O 1.558 1.578 4.964
O 1.586 3.489 2.140
O 1.968 5.514 7.248
O 3.160 5.198 3.530
O 3.492 3.720 5.756
O 3.551 1.310 1.234
O 4.077 1.058 5.788
O 4.118 4.037 1.255
O 4.495 2.480 3.490

=====

Q | 20
Lattice="4.950 0.000 0.000 0.000 8.666 0.000 -0.096 0.000 5.032" Properties=species:S:1:pos:R:3 comment="Li4MnW3O12 | the Alexandria database | GGA-PBEsol | optimized geometry" n_ef_per_ev_fu=0.96 total_magnetization_mub_per_cell=5.01 sg=P2 pbc="T T T"
Li 0.000 0.000 0.000
Li -0.048 3.169 2.516
Li 2.427 4.371 2.516
Li 2.475 7.608 0.000
Mn 0.000 5.227 0.000
W -0.048 6.679 2.516
W 2.427 0.799 2.516
W 2.475 2.711 0.000
O 0.873 6.984 4.103
O 1.080 5.468 1.733
O 1.223 8.288 1.786
O 1.203 3.855 4.223
O 1.436 2.393 1.591
O 1.408 1.111 4.096
O 3.446 1.111 0.935
O 3.418 2.393 3.441
O 3.650 3.855 0.808
O 3.631 8.288 3.246
O 3.774 5.468 3.298
O 3.980 6.984 0.928

=====

Stability check: which of them is most stable? P.

=====

P | 4
Lattice="-1.727 1.727 4.082 1.727 -1.727 4.082 1.727 1.727 -4.082" Properties=species:S:1:pos:R:3 comment="LiMnP2 | the Alexandria database | GGA-PBEsol | optimized geometry" n_ef_per_ev_fu=1.90 total_magnetization_mub_per_cell=2.65 sg=I-4m2 pbc="T T T"
Li 0.000 0.000 0.000
Mn 0.000 1.727 2.041
P 1.727 0.000 2.041
P 0.000 0.000 4.082

=====

Q | 4
Lattice="3.828 0.000 0.000 0.000 3.828 0.000 0.000 0.000 3.408" Properties=species:S:1:pos:R:3 comment="LiMnP2 | the Alexandria database | GGA-PBEsol | optimized geometry" n_ef_per_ev_fu=2.07 total_magnetization_mub_per_cell=2.98 sg=P4/mmm pbc="T T T"
Li 0.000 0.000 0.000
Mn 1.914 1.914 0.000
P 0.000 1.914 1.704
P 1.914 0.000 1.704

=====

Stability check: which of them is most stable? P.

=====

P | 4
Lattice="2.648 -3.489 0.000 2.648 3.489 0.000 -0.336 0.000 2.656" Properties=species:S:1:pos:R:3 comment="LiMnP2 | the Alexandria database | GGA-PBEsol | optimized geometry" n_ef_per_ev_fu=2.10 total_magnetization_mub_per_cell=2.86 sg=C2/m pbc="T T T"
Li 0.000 0.000 0.000
Mn 2.648 0.000 0.000
P 1.156 1.745 1.328
P 1.156 -1.745 1.328

=====

Q | 4
Lattice="0.000 2.811 2.811 2.811 0.000 2.811 2.811 2.811 0.000" Properties=species:S:1:pos:R:3 comment="LiMnP2 | the Alexandria database | GGA-PBEsol | optimized geometry" n_ef_per_ev_fu=3.50 total_magnetization_mub_per_cell=0.06 sg=Fm-3m pbc="T T T"
Li 0.000 0.000 0.000
Mn 2.811 2.811 2.811
P 1.405 1.405 1.405
P 4.216 4.216 4.216

=====

Stability check: which of them is most stable? Q.

=====

P | 4
Lattice="0.000 2.949 2.949 2.949 0.000 2.949 2.949 2.949 0.000" Properties=species:S:1:pos:R:3 comment="Li2MnPt | the Alexandria database | GGA-PBEsol | optimized geometry" n_ef_per_ev_fu=3.18 total_magnetization_mub_per_cell=4.17 sg=Fm-3m pbc="T T T"
Li 1.475 1.475 1.475
Li 4.424 4.424 4.424
Mn 0.000 0.000 0.000
Pt 2.949 2.949 2.949

=====

Q | 4
Lattice="2.689 0.000 0.000 0.000 2.689 0.000 0.000 0.000 7.915" Properties=species:S:1:pos:R:3 comment="Li2MnPt | the Alexandria database | GGA-PBEsol | optimized geometry" n_ef_per_ev_fu=2.65 total_magnetization_mub_per_cell=3.86 sg=P4/mmm pbc="T T T"
Li 0.000 0.000 1.760
Li 0.000 0.000 6.155
Mn 1.344 1.344 3.958
Pt 1.344 1.344 0.000

=====

R | 4
Lattice="2.566 -4.504 0.000 2.566 4.504 0.000 -1.301 0.000 2.371" Properties=species:S:1:pos:R:3 comment="Li2MnPt | the Alexandria database | GGA-PBEsol | optimized geometry" n_ef_per_ev_fu=2.07 total_magnetization_mub_per_cell=3.41 sg=C2/m pbc="T T T"
Li 1.283 2.252 0.000
Li 1.283 -2.252 0.000
Mn -0.651 0.000 1.186
Pt 1.916 0.000 1.186

=====

Stability check: which of them is most stable? R.

=====

P | 4
Lattice="2.432 0.000 0.000 0.000 2.432 0.000 0.000 0.000 8.863" Properties=species:S:1:pos:R:3 comment="Li2MnRe | the Alexandria database | GGA-PBEsol | optimized geometry" n_ef_per_ev_fu=3.15 total_magnetization_mub_per_cell=0.37 sg=P4/mmm pbc="T T T"
Li 0.000 0.000 2.173
Li 0.000 0.000 6.690
Mn 1.216 1.216 0.000
Re 1.216 1.216 4.432

=====

Q | 4
Lattice="0.000 2.860 2.860 2.860 0.000 2.860 2.860 2.860 0.000" Properties=species:S:1:pos:R:3 comment="Li2MnRe | the Alexandria database | GGA-PBEsol | optimized geometry" n_ef_per_ev_fu=2.92 total_magnetization_mub_per_cell=0.00 sg=F-43m pbc="T T T"
Li 0.000 0.000 0.000
Li 1.430 1.430 1.430
Mn 4.289 4.289 4.289
Re 2.860 2.860 2.860

=====

Stability check: which of them is most stable? Q.

=====

P | 4
Lattice="-1.790 1.790 3.851 1.790 -1.790 3.851 1.790 1.790 -3.851" Properties=species:S:1:pos:R:3 comment="LiMnRu2 | the Alexandria database | GGA-PBEsol | optimized geometry" n_ef_per_ev_fu=4.50 total_magnetization_mub_per_cell=1.98 sg=I-4m2 pbc="T T T"
Li 0.000 0.000 0.000
Mn 0.000 1.790 1.925
Ru 1.790 0.000 1.925
Ru 0.000 0.000 3.851

=====

Q | 4
Lattice="4.213 -1.316 0.000 4.213 1.316 0.000 -0.818 0.000 4.537" Properties=species:S:1:pos:R:3 comment="LiMnRu2 | the Alexandria database | GGA-PBEsol | optimized geometry" n_ef_per_ev_fu=3.52 total_magnetization_mub_per_cell=1.98 sg=C2/m pbc="T T T"
Li 0.000 0.000 0.000
Mn 3.804 0.000 2.268
Ru 1.404 0.000 3.398
Ru 6.204 0.000 1.138

=====

Stability check: which of them is most stable? Q.

=====

P | 3
Lattice="-1.520 1.520 5.626 1.520 -1.520 5.626 1.520 1.520 -5.626" Properties=species:S:1:pos:R:3 comment="LiScMn | the Alexandria database | GGA-PBEsol | optimized geometry" n_ef_per_ev_fu=1.77 total_magnetization_mub_per_cell=2.57 sg=I4mm pbc="T T T"
Li 0.000 0.000 0.000
Sc 0.000 0.000 3.303
Mn 0.000 0.000 7.265

=====

Q | 3
Lattice="0.000 3.113 3.113 3.113 0.000 3.113 3.113 3.113 0.000" Properties=species:S:1:pos:R:3 comment="LiScMn | the Alexandria database | GGA-PBEsol | optimized geometry" n_ef_per_ev_fu=3.38 total_magnetization_mub_per_cell=3.00 sg=F-43m pbc="T T T"
Li 0.000 0.000 0.000
Sc 3.113 3.113 3.113
Mn 4.669 4.669 4.669

=====

Stability check: which of them is most stable? P.